SrTbGd2 after structural relaxation, computed with PBE.

```
SrTbGd2
1.0
1.814 1.047 12.796
-1.814 1.047 12.796
0.000 -2.095 12.796
Sr Tb Gd
1 1 2
Direct
0.000 0.000 0.000 Sr
0.500 0.500 0.500 Tb
0.093 0.093 0.093 Gd
0.907 0.907 0.907 Gd
```

As for the formation energy: 0.197 eV per atom. Its density of states at the Fermi level is 6.21 states/eV/f.u. The energy above the most stable polymorph in this dataset comes out at 9.2 kJ per mole of atoms.

=====

Ca3Zn6Cu5 after structural relaxation, computed with PBE.

```
Ca3Zn6Cu5
1.0
4.222 0.000 0.000
0.000 12.678 0.000
0.000 0.000 9.222
Ca Zn Cu
6 12 10
Direct
0.250 0.057 0.245 Ca
0.250 0.443 0.245 Ca
0.250 0.750 0.264 Ca
0.750 0.250 0.736 Ca
0.750 0.557 0.755 Ca
0.750 0.943 0.755 Ca
0.250 0.068 0.586 Zn
0.250 0.250 0.029 Zn
0.250 0.250 0.445 Zn
0.250 0.432 0.586 Zn
0.250 0.608 0.983 Zn
0.250 0.892 0.983 Zn
0.750 0.108 0.017 Zn
0.750 0.392 0.017 Zn
0.750 0.568 0.414 Zn
0.750 0.750 0.555 Zn
0.750 0.750 0.971 Zn
0.750 0.932 0.414 Zn
0.250 0.086 0.869 Cu
0.250 0.414 0.869 Cu
0.250 0.638 0.549 Cu
0.250 0.750 0.778 Cu
0.250 0.862 0.549 Cu
0.750 0.138 0.451 Cu
0.750 0.250 0.222 Cu
0.750 0.362 0.451 Cu
0.750 0.586 0.131 Cu
0.750 0.914 0.131 Cu
```

As for the formation energy: -0.198 eV per atom. Its density of states at the Fermi level is 7.24 states/eV/f.u.

=====

> What is the formula in the first record?

SrTbGd2

=====

Repeat the first record exactly.
SrTbGd2 after structural relaxation, computed with PBE.

```
SrTbGd2
1.0
1.814 1.047 12.796
-1.814 1.047 12.796
0.000 -2.095 12.796
Sr Tb Gd
1 1 2
Direct
0.000 0.000 0.000 Sr
0.500 0.500 0.500 Tb
0.093 0.093 0.093 Gd
0.907 0.907 0.907 Gd
```

As for the formation energy: 0.197 eV per atom. Its density of states at the Fermi level is 6.21 states/eV/f.u. The energy above the most stable polymorph in this dataset comes out at 9.2 kJ per mole of atoms.